Entry from Alexandria via LeMat-Bulk: crystalline SrWAu2 at its relaxed geometry (GGA-PBE).

Unit cell a=4.998 b=4.998 c=4.998 alpha=60.00 beta=60.00 gamma=60.00
Fractional positions:
Sr: 0.000 0.000 0.000
W: 0.500 0.500 0.500
Au: 0.250 0.250 0.250
Au: 0.750 0.750 0.750

Results
Energy relative to the elements: 0.509 eV/atom
Space group: No. 225
Distance to the lowest polymorph of the same formula: 246.7 meV per atom